Material: Sr3Co2NiO6
Method: DFT, GGA+U
State: optimized geometry

Cell and atoms, written as extended XYZ:
```
12
Lattice="-4.7055 3.1363 -1.4804 1.6597 -4.5211 -3.3128 -3.6751 -3.8821 3.4569" Properties=species:S:1:pos:R:3 pbc="T T T"
Ni -1.8375 -1.9410 1.7284
O -1.3137 -2.1079 -0.2900
O -6.2595 -0.8370 0.6550
O -0.4614 -4.4299 -1.9913
O -2.8780 -2.8191 -2.7517
O -5.4072 -3.1590 -1.0464
O -3.8429 -2.4478 1.4154
Sr 0.0000 0.0000 0.0000
Sr -2.8639 -4.5057 -0.4428
Sr -3.8570 -0.7611 -0.8935
Co -1.2315 -2.7814 -1.9782
Co -5.4894 -2.4854 0.6419
```

Results
- Calculated total energy: -5.55 eV/atom
- Total magnetization: 0.668 μB per atom